Density functional theory data (GGA-PBE) for NaAgSn2Pb after structural relaxation.

The structure in POSCAR format:
```
NaAgSn2Pb
1.0
5.422 0.000 0.000
0.000 5.422 0.000
0.000 0.000 5.913
Na Ag Sn Pb
1 1 2 1
direct
0.000 0.000 0.000
0.500 0.500 0.500
0.000 0.500 0.500
0.500 0.000 0.500
0.500 0.500 0.000
```

Properties
Symmetry: P4/mmm
Energy of formation (eV/f.u.): 1.3
Calculated volume (A^3/atom): 34.770

=====

Density functional theory data (GGA-PBE) for NbTcGeP2 after structural relaxation.

The structure in POSCAR format:
```
NbTcGeP2
1.0
4.438 0.000 0.000
0.000 4.438 0.000
0.000 0.000 5.183
Nb Tc Ge P
1 1 1 2
direct
0.000 0.000 0.000
0.000 0.000 0.500
0.500 0.500 0.000
0.000 0.500 0.500
0.500 0.000 0.500
```

Properties
Symmetry: P4/mmm
Energy of formation (eV/f.u.): 3.2
Calculated volume (A^3/atom): 20.417

=====

Density functional theory data (GGA-PBE) for KTaCd3 after structural relaxation.

The structure in POSCAR format:
```
KTaCd3
1.0
5.583 0.000 0.000
0.000 5.583 0.000
0.000 0.000 5.583
K Ta Cd
1 1 3
direct
0.000 0.000 0.000
0.500 0.500 0.500
0.000 0.500 0.500
0.500 0.000 0.500
0.500 0.500 0.000
```

Properties
Symmetry: Pm-3m
Energy of formation (eV/f.u.): 3.4
Calculated volume (A^3/atom): 34.796
Distance to the lowest polymorph of the same formula (kJ per mole of atoms): 0.0

=====

Density functional theory data (GGA-PBE) for SrGaBr3 after structural relaxation.

The structure in POSCAR format:
```
SrGaBr3
1.0
5.552 0.000 0.000
0.000 5.552 0.000
0.000 0.000 5.552
Sr Ga Br
1 1 3
direct
0.000 0.000 0.000
0.500 0.500 0.500
0.000 0.500 0.500
0.500 0.000 0.500
0.500 0.500 0.000
```

Properties
Symmetry: Pm-3m
Calculated volume (A^3/atom): 34.221
Uncorrected formation energy (eV/atom): -1.040
Distance to the lowest polymorph of the same formula (kJ per mole of atoms): 41.9